No. 1
Computed, not measured: a PBEsol-optimized structure of Dy2Sc3Si4 at the meta-GGA SCAN level of DFT. Values from VASP.

Output
ΔE_f (raw): -0.86 eV per atom

```
&SYSTEM
  ibrav = 0, nat = 36, ntyp = 3
/
ATOMIC_SPECIES
Dy 162.50 Dy.upf
Sc 44.96 Sc.upf
Si 28.09 Si.upf
CELL_PARAMETERS angstrom
7.015 0.000 0.000
0.000 13.815 0.000
0.000 0.000 7.308
ATOMIC_POSITIONS crystal
Dy 0.011 0.096 0.176
Dy 0.011 0.404 0.176
Dy 0.489 0.596 0.676
Dy 0.489 0.904 0.676
Dy 0.511 0.096 0.324
Dy 0.511 0.404 0.324
Dy 0.989 0.596 0.824
Dy 0.989 0.904 0.824
Sc 0.163 0.750 0.503
Sc 0.169 0.125 0.676
Sc 0.169 0.375 0.676
Sc 0.331 0.625 0.176
Sc 0.331 0.875 0.176
Sc 0.337 0.250 0.003
Sc 0.663 0.750 0.997
Sc 0.669 0.125 0.824
Sc 0.669 0.375 0.824
Sc 0.831 0.625 0.324
Sc 0.831 0.875 0.324
Sc 0.837 0.250 0.497
Si 0.034 0.750 0.114
Si 0.158 0.539 0.465
Si 0.158 0.961 0.465
Si 0.214 0.250 0.372
Si 0.286 0.750 0.872
Si 0.342 0.039 0.965
Si 0.342 0.461 0.965
Si 0.466 0.250 0.614
Si 0.534 0.750 0.386
Si 0.658 0.539 0.035
Si 0.658 0.961 0.035
Si 0.714 0.250 0.128
Si 0.786 0.750 0.628
Si 0.842 0.039 0.535
Si 0.842 0.461 0.535
Si 0.966 0.250 0.886
```

No. 2
Computed, not measured: a PBEsol-optimized structure of CaTe2Rh at the meta-GGA SCAN level of DFT. Values from VASP.

Output
ΔE_f (raw): -0.91 eV per atom
Energy relative to the lowest polymorph listed for this composition: 0 meV per atom

```
&SYSTEM
  ibrav = 0, nat = 4, ntyp = 3
/
ATOMIC_SPECIES
Ca 40.08 Ca.upf
Te 127.60 Te.upf
Rh 102.91 Rh.upf
CELL_PARAMETERS angstrom
4.100 0.000 0.000
-2.050 3.551 0.000
0.000 0.000 6.685
ATOMIC_POSITIONS crystal
Ca 0.000 0.000 0.000
Te 0.333 0.667 0.694
Te 0.667 0.333 0.306
Rh 0.000 0.000 0.500
```

No. 3
Computed, not measured: a PBEsol-optimized structure of Mn3As at the meta-GGA SCAN level of DFT. Values from VASP.

Output
E_form: -25.2 kJ/mol of atoms

```
&SYSTEM
  ibrav = 0, nat = 4, ntyp = 2
/
ATOMIC_SPECIES
Mn 54.94 Mn.upf
As 74.92 As.upf
CELL_PARAMETERS angstrom
3.606 0.000 0.000
0.000 3.606 0.000
0.000 0.000 3.606
ATOMIC_POSITIONS crystal
Mn 0.000 0.000 0.500
Mn 0.000 0.500 0.000
Mn 0.500 0.000 0.000
As 0.500 0.500 0.500
```

How do the records compare in total energy? In the order shown, they have -20.6835, -30.3974, -19.0007 eV/atom.